No. 1
The following is a PBE calculation of a relaxed TaBeAl crystal, from Alexandria.

Values from the calculation:
DFT formation energy: 0.23 eV per atom
Total magnetization: 0.0000 μB per atom
Energy relative to the lowest polymorph listed for this composition: 155 kJ/mol of formula units
Electronic total energy: -18.6 eV/cell

Unit cell a=2.8391 b=2.8391 c=6.5191 alpha=90.00 beta=90.00 gamma=120.00
Sites, in units of the cell vectors:
Be  0.6667  0.3333  0.3265
Al  0.0000  0.0000  0.0195
Ta  0.3333  0.6667  0.6540



No. 2
The following is a PBE calculation of a relaxed LiSi2PdO6 crystal, from Alexandria.

Values from the calculation:
Total magnetization: 0.1003 μB per atom
Formation energy (no corrections): -1961 meV/atom
Electronic total energy: -134.6 eV/cell

Unit cell a=5.3114 b=6.8822 c=6.8822 alpha=83.17 beta=74.20 gamma=74.20
Site moments in Bohr magnetons follow the coordinates.
Sites, in units of the cell vectors:
Li  0.2500  0.8995  0.1005  0.00
Li  0.7500  0.1005  0.8995  0.00
Si  0.3107  0.8018  0.6224  0.00
Si  0.1893  0.3776  0.1982  0.00
Si  0.6893  0.1982  0.3776  0.00
Si  0.8107  0.6224  0.8018  0.00
Pd  0.2500  0.2605  0.7395  0.59
Pd  0.7500  0.7395  0.2605  0.59
O  0.1612  0.9765  0.7846  0.13
O  0.3388  0.2154  0.0235  0.13
O  0.8388  0.0235  0.2154  0.13
O  0.6612  0.7846  0.9765  0.13
O  0.3547  0.8684  0.3821  0.00
O  0.1453  0.6179  0.1316  0.00
O  0.6453  0.1316  0.6179  0.00
O  0.8547  0.3821  0.8684  0.00
O  0.1267  0.6321  0.6829  0.03
O  0.3733  0.3171  0.3679  0.03
O  0.8733  0.3679  0.3171  0.03
O  0.6267  0.6829  0.6321  0.03



No. 3
The following is a PBE calculation of a relaxed Ce3AlFe2Ge6 crystal, from Alexandria.

Values from the calculation:
DFT formation energy: -0.18 eV per atom
Total magnetization: 0.0225 μB per atom
Electronic total energy: -68.3 eV/cell

Unit cell a=6.3675 b=6.3675 c=6.9174 alpha=90.00 beta=90.00 gamma=120.00
Site moments in Bohr magnetons follow the coordinates.
Sites, in units of the cell vectors:
Ce  0.3333  0.6667  0.7210  0.06
Ce  0.6667  0.3333  0.2790  0.06
Ce  0.0000  0.0000  0.0000  0.46
Al  0.0000  0.0000  0.5000  0.00
Fe  0.6667  0.3333  0.9814  -0.22
Fe  0.3333  0.6667  0.0186  -0.22
Ge  0.6073  0.8037  0.3001  0.00
Ge  0.1963  0.3927  0.3001  0.00
Ge  0.1963  0.8037  0.3001  0.00
Ge  0.8037  0.6073  0.6999  0.00
Ge  0.3927  0.1963  0.6999  0.00
Ge  0.8037  0.1963  0.6999  0.00



Number 1: density of states at the Fermi level 2.812 states/eV/f.u.. Number 2: density of states at the Fermi level 0.129 states/eV/f.u.. Number 3: density of states at the Fermi level 9.836 states/eV/f.u..